1.
DFT (PBE) results for a relaxed structure of Tm2UIn3Se6.

* crystal system: monoclinic
* raw formation energy: -1101 meV/atom
* E: -0.1916 hartree per atom

Cell lengths 7.1356, 7.1356, 8.1515 Å; angles 98.38, 98.38, 119.94 degrees
Closest atoms and distances in Å follow each position.
Sites, in units of the cell vectors:
1 Tm 0.1668 0.8332 0.0000  6 Se 2.85-2.86
2 Tm 0.8332 0.1668 0.0000  6 Se 2.85-2.86
3 U 0.5000 0.5000 0.0000  6 Se 2.90
4 In 0.0000 0.0000 0.5000  6 Se 3.28-3.32
5 In 0.3343 0.6657 0.5000  6 Se 3.28-3.32
6 In 0.6657 0.3343 0.5000  6 Se 3.28-3.32
7 Se 0.0926 0.4312 0.7937  2 Tm 2.86, 1 U 2.90
8 Se 0.2298 0.2298 0.2052  2 Tm 2.85, 1 U 2.90
9 Se 0.4312 0.0926 0.7937  2 Tm 2.86, 1 U 2.90
10 Se 0.5688 0.9074 0.2063  2 Tm 2.86, 1 U 2.90
11 Se 0.7702 0.7702 0.7948  2 Tm 2.85, 1 U 2.90
12 Se 0.9074 0.5688 0.2063  2 Tm 2.86, 1 U 2.90

2.
DFT (PBE) results for a relaxed structure of Y2TmIn3Se6.

* crystal system: monoclinic
* raw formation energy: -1303 meV/atom
* E: -0.1903 hartree per atom

Cell lengths 7.1633, 7.1633, 8.1023 Å; angles 98.47, 98.47, 120.00 degrees
Closest atoms and distances in Å follow each position.
Sites, in units of the cell vectors:
1 Y 0.1666 0.8334 0.0000  6 Se 2.89
2 Y 0.8334 0.1666 0.0000  6 Se 2.89
3 Tm 0.5000 0.5000 0.0000  6 Se 2.85-2.86
4 In 0.0000 0.0000 0.5000  6 Se 3.28-3.31
5 In 0.3323 0.6677 0.5000  6 Se 3.28-3.30
6 In 0.6677 0.3323 0.5000  6 Se 3.28-3.30
7 Se 0.1013 0.4309 0.7928  1 Tm 2.85, 2 Y 2.89
8 Se 0.2398 0.2398 0.2083  1 Tm 2.86, 2 Y 2.89
9 Se 0.4309 0.1013 0.7928  1 Tm 2.85, 2 Y 2.89
10 Se 0.5691 0.8987 0.2072  1 Tm 2.85, 2 Y 2.89
11 Se 0.7602 0.7602 0.7917  1 Tm 2.86, 2 Y 2.89
12 Se 0.8987 0.5691 0.2072  1 Tm 2.85, 2 Y 2.89

3.
DFT (PBE) results for a relaxed structure of Tm3ZrIn3Se8.

* crystal system: trigonal
* raw formation energy: -1305 meV/atom
* E: -0.1902 hartree per atom

Cell lengths 9.0631, 9.0631, 9.0631 Å; angles 52.74, 52.74, 52.74 degrees
Closest atoms and distances in Å follow each position.
Sites, in units of the cell vectors:
1 Tm 0.0000 0.5000 0.5000  6 Se 2.82-2.84
2 Tm 0.5000 0.0000 0.5000  6 Se 2.82-2.84
3 Tm 0.5000 0.5000 0.0000  6 Se 2.82-2.84
4 Zr 0.0000 0.0000 0.0000  6 Se 2.75
5 In 0.0000 0.0000 0.5000  6 Se 3.25-3.26
6 In 0.0000 0.5000 0.0000  6 Se 3.25-3.26
7 In 0.5000 0.0000 0.0000  6 Se 3.25-3.26
8 Se 0.2287 0.2287 0.7458  1 Zr 2.75, 2 Tm 2.84
9 Se 0.2287 0.7458 0.2287  1 Zr 2.75, 2 Tm 2.84
10 Se 0.2542 0.7713 0.7713  1 Zr 2.75, 2 Tm 2.84
11 Se 0.2646 0.2646 0.2646  3 Tm 2.82
12 Se 0.7354 0.7354 0.7354  3 Tm 2.82
13 Se 0.7458 0.2287 0.2287  1 Zr 2.75, 2 Tm 2.84
14 Se 0.7713 0.2542 0.7713  1 Zr 2.75, 2 Tm 2.84
15 Se 0.7713 0.7713 0.2542  1 Zr 2.75, 2 Tm 2.84

4.
DFT (PBE) results for a relaxed structure of UInSe.

* crystal system: trigonal
* raw formation energy: -188 meV/atom
* energy relative to the lowest polymorph listed for this composition: 2.371 kcal/mol of atoms
* E: -0.2214 hartree per atom

Cell lengths 3.4346, 3.4346, 7.1625 Å; angles 90.00, 90.00, 120.00 degrees
Closest atoms and distances in Å follow each position.
Sites, in units of the cell vectors:
1 U 0.0000 0.0000 0.0000  3 Se 2.85
2 In 0.3333 0.6667 0.6223  3 Se 3.12, 3 U 3.35, 6 In 3.43
3 Se 0.6667 0.3333 0.2864  3 U 2.85, 3 In 3.12

5.
DFT (PBE) results for a relaxed structure of U3In5Se12.

* crystal system: cubic
* raw formation energy: -690 meV/atom
* E: -0.1896 hartree per atom

Cell lengths 14.3578, 14.3578, 14.3578 Å; angles 109.47, 109.47, 109.47 degrees
Closest atoms and distances in Å follow each position.
Sites, in units of the cell vectors:
1 U 0.1250 0.2500 0.3750  8 Se 3.08-3.09
2 U 0.1250 0.3750 0.7500  8 Se 3.08-3.09
3 U 0.2500 0.3750 0.1250  8 Se 3.08-3.09
4 U 0.2500 0.8750 0.6250  8 Se 3.08-3.09
5 U 0.3750 0.1250 0.2500  8 Se 3.08-3.09
6 U 0.3750 0.7500 0.1250  8 Se 3.08-3.09
7 U 0.6250 0.2500 0.8750  8 Se 3.08-3.09
8 U 0.6250 0.8750 0.7500  8 Se 3.08-3.09
9 U 0.7500 0.1250 0.3750  8 Se 3.08-3.09
10 U 0.7500 0.6250 0.8750  8 Se 3.08-3.09
11 U 0.8750 0.6250 0.2500  8 Se 3.08-3.09
12 U 0.8750 0.7500 0.6250  8 Se 3.08-3.09
13 In 0.0000 0.0000 0.0000  6 Se 2.81
14 In 0.0000 0.0000 0.5000  6 Se 2.81
15 In 0.0000 0.5000 0.0000  6 Se 2.81
16 In 0.0000 0.5000 0.5000  6 Se 2.81
17 In 0.1250 0.7500 0.8750  4 Se 2.61
18 In 0.1250 0.8750 0.2500  4 Se 2.61
19 In 0.2500 0.1250 0.8750  4 Se 2.61
20 In 0.2500 0.6250 0.3750  4 Se 2.61
21 In 0.3750 0.2500 0.6250  4 Se 2.61
22 In 0.3750 0.6250 0.7500  4 Se 2.61
23 In 0.5000 0.0000 0.0000  6 Se 2.81
24 In 0.5000 0.0000 0.5000  6 Se 2.81
25 In 0.5000 0.5000 0.0000  6 Se 2.81
26 In 0.5000 0.5000 0.5000  6 Se 2.81
27 In 0.6250 0.3750 0.2500  4 Se 2.61
28 In 0.6250 0.7500 0.3750  4 Se 2.61
29 In 0.7500 0.3750 0.6250  4 Se 2.61
30 In 0.7500 0.8750 0.1250  4 Se 2.61
31 In 0.8750 0.1250 0.7500  4 Se 2.61
32 In 0.8750 0.2500 0.1250  4 Se 2.61
33 Se 0.0479 0.2218 0.1343  2 In 2.61-2.81
34 Se 0.0479 0.3261 0.9136  2 In 2.61-2.81
35 Se 0.0864 0.6343 0.4125  2 In 2.61-2.81
36 Se 0.0864 0.9521 0.6739  2 In 2.61-2.81
37 Se 0.0875 0.7218 0.6739  2 In 2.61-2.81
38 Se 0.0875 0.8657 0.4136  2 In 2.61-2.81
39 Se 0.1343 0.0479 0.2218  2 In 2.61-2.81
40 Se 0.1343 0.5864 0.9125  2 In 2.61-2.81
41 Se 0.1739 0.2218 0.5875  2 In 2.61-2.81
42 Se 0.1739 0.4521 0.5864  2 In 2.61-2.81
43 Se 0.2218 0.1343 0.0479  2 In 2.61-2.81
44 Se 0.2218 0.5875 0.1739  2 In 2.61-2.81
45 Se 0.2782 0.3261 0.9125  2 In 2.61-2.81
46 Se 0.2782 0.4521 0.3657  2 In 2.61-2.81
47 Se 0.3261 0.9125 0.2782  2 In 2.61-2.81
48 Se 0.3261 0.9136 0.0479  2 In 2.61-2.81
49 Se 0.3657 0.2782 0.4521  2 In 2.61-2.81
50 Se 0.3657 0.5875 0.9136  2 In 2.61-2.81
51 Se 0.4125 0.0864 0.6343  2 In 2.61-2.81
52 Se 0.4125 0.8261 0.7782  2 In 2.61-2.81
53 Se 0.4136 0.0875 0.8657  2 In 2.61-2.81
54 Se 0.4136 0.8261 0.5479  2 In 2.61-2.81
55 Se 0.4521 0.3657 0.2782  2 In 2.61-2.81
56 Se 0.4521 0.5864 0.1739  2 In 2.61-2.81
57 Se 0.5479 0.4136 0.8261  2 In 2.61-2.81
58 Se 0.5479 0.6343 0.7218  2 In 2.61-2.81
59 Se 0.5864 0.1739 0.4521  2 In 2.61-2.81
60 Se 0.5864 0.9125 0.1343  2 In 2.61-2.81
61 Se 0.5875 0.1739 0.2218  2 In 2.61-2.81
62 Se 0.5875 0.9136 0.3657  2 In 2.61-2.81
63 Se 0.6343 0.4125 0.0864  2 In 2.61-2.81
64 Se 0.6343 0.7218 0.5479  2 In 2.61-2.81
65 Se 0.6739 0.0864 0.9521  2 In 2.61-2.81
66 Se 0.6739 0.0875 0.7218  2 In 2.61-2.81
67 Se 0.7218 0.5479 0.6343  2 In 2.61-2.81
68 Se 0.7218 0.6739 0.0875  2 In 2.61-2.81
69 Se 0.7782 0.4125 0.8261  2 In 2.61-2.81
70 Se 0.7782 0.8657 0.9521  2 In 2.61-2.81
71 Se 0.8261 0.5479 0.4136  2 In 2.61-2.81
72 Se 0.8261 0.7782 0.4125  2 In 2.61-2.81
73 Se 0.8657 0.4136 0.0875  2 In 2.61-2.81
74 Se 0.8657 0.9521 0.7782  2 In 2.61-2.81
75 Se 0.9125 0.1343 0.5864  2 In 2.61-2.81
76 Se 0.9125 0.2782 0.3261  2 In 2.61-2.81
77 Se 0.9136 0.0479 0.3261  2 In 2.61-2.81
78 Se 0.9136 0.3657 0.5875  2 In 2.61-2.81
79 Se 0.9521 0.6739 0.0864  2 In 2.61-2.81
80 Se 0.9521 0.7782 0.8657  2 In 2.61-2.81

6.
DFT (PBE) results for a relaxed structure of UIn3Se4.

* crystal system: tetragonal
* raw formation energy: -545 meV/atom
* E: -0.1736 hartree per atom

Cell lengths 7.5956, 7.5956, 7.5956 Å; angles 133.49, 133.49, 67.88 degrees
Closest atoms and distances in Å follow each position.
Sites, in units of the cell vectors:
1 U 0.0000 0.0000 0.0000  6 Se 2.82-3.00
2 In 0.2500 0.7500 0.5000  6 Se 3.02-3.15
3 In 0.5000 0.5000 0.0000  4 Se 3.00
4 In 0.7500 0.2500 0.5000  6 Se 3.02-3.15
5 Se 0.0000 0.5000 0.5000  4 In 3.00-3.15, 2 U 3.00
6 Se 0.2234 0.2234 0.0000  1 U 2.82, 4 In 3.02
7 Se 0.5000 0.0000 0.5000  4 In 3.00-3.15, 2 U 3.00
8 Se 0.7766 0.7766 0.0000  1 U 2.82, 4 In 3.02

7.
DFT (PBE) results for a relaxed structure of UIn2Se6.

* crystal system: monoclinic
* raw formation energy: -552 meV/atom
* E: -0.1741 hartree per atom

Cell lengths 8.8226, 8.8226, 7.3070 Å; angles 96.56, 96.56, 82.68 degrees
Closest atoms and distances in Å follow each position.
Sites, in units of the cell vectors:
1 U 0.0946 0.9054 0.7500  6 Se 2.62-2.79
2 U 0.9054 0.0946 0.2500  6 Se 2.62-2.79
3 In 0.2583 0.3970 0.6426  4 Se 2.56-2.82
4 In 0.3970 0.2583 0.1426  4 Se 2.56-2.82
5 In 0.6030 0.7417 0.8574  4 Se 2.56-2.82
6 In 0.7417 0.6030 0.3574  4 Se 2.56-2.82
7 Se 0.0382 0.1873 0.6019  2 U 2.78-2.79, 1 In 2.82
8 Se 0.1123 0.6262 0.8477  1 U 2.62, 1 In 2.66
9 Se 0.1873 0.0382 0.1019  2 U 2.78-2.79, 1 In 2.82
10 Se 0.2684 0.4946 0.3277  2 In 2.56
11 Se 0.3738 0.8877 0.6523  1 U 2.62, 1 In 2.66
12 Se 0.4946 0.2684 0.8277  2 In 2.56
13 Se 0.5054 0.7316 0.1723  2 In 2.56
14 Se 0.6262 0.1123 0.3477  1 U 2.62, 1 In 2.66
15 Se 0.7316 0.5054 0.6723  2 In 2.56
16 Se 0.8127 0.9618 0.8981  2 U 2.78-2.79, 1 In 2.82
17 Se 0.8877 0.3738 0.1523  1 U 2.62, 1 In 2.66
18 Se 0.9618 0.8127 0.3981  2 U 2.78-2.79, 1 In 2.82

8.
DFT (PBE) results for a relaxed structure of U2InSe6.

* crystal system: monoclinic
* raw formation energy: -827 meV/atom
* E: -0.2191 hartree per atom

Cell lengths 6.6587, 7.1179, 11.1820 Å; angles 90.00, 118.78, 90.00 degrees
Closest atoms and distances in Å follow each position.
Sites, in units of the cell vectors:
1 U 0.1614 0.1220 0.2199  7 Se 2.80-3.01
2 U 0.1614 0.3780 0.7199  7 Se 2.80-3.01
3 U 0.8386 0.6220 0.2801  7 Se 2.80-3.01
4 U 0.8386 0.8780 0.7801  7 Se 2.80-3.01
5 In 0.5000 0.0000 0.0000  6 Se 2.71-2.86
6 In 0.5000 0.5000 0.5000  6 Se 2.71-2.86
7 Se 0.1008 0.1916 0.9387  1 In 2.76, 3 U 2.86-3.01
8 Se 0.1008 0.3084 0.4387  1 In 2.76, 3 U 2.86-3.01
9 Se 0.2369 0.6615 0.9156  2 U 2.80-2.84, 1 In 2.86
10 Se 0.2369 0.8385 0.4156  2 U 2.80-2.84, 1 In 2.86
11 Se 0.4336 0.0650 0.7449  1 In 2.71, 2 U 2.80-2.86
12 Se 0.4336 0.4350 0.2449  1 In 2.71, 2 U 2.80-2.86
13 Se 0.5664 0.5650 0.7551  1 In 2.71, 2 U 2.80-2.86
14 Se 0.5664 0.9350 0.2551  1 In 2.71, 2 U 2.80-2.86
15 Se 0.7631 0.1615 0.5844  2 U 2.80-2.84, 1 In 2.86
16 Se 0.7631 0.3385 0.0844  2 U 2.80-2.84, 1 In 2.86
17 Se 0.8992 0.6916 0.5613  1 In 2.76, 3 U 2.86-3.01
18 Se 0.8992 0.8084 0.0613  1 In 2.76, 3 U 2.86-3.01

9.
DFT (PBE) results for a relaxed structure of UInSe2.

* crystal system: tetragonal
* raw formation energy: -755 meV/atom
* E: -0.2206 hartree per atom

Cell lengths 3.5797, 3.5797, 7.7068 Å; angles 90.00, 90.00, 90.00 degrees
Closest atoms and distances in Å follow each position.
Sites, in units of the cell vectors:
1 U 0.0000 0.0000 0.0000  8 Se 3.01
2 In 0.0000 0.0000 0.5000  8 Se 3.37, 4 In 3.58
3 Se 0.5000 0.5000 0.2111  4 U 3.01, 1 Se 3.25
4 Se 0.5000 0.5000 0.7889  4 U 3.01, 1 Se 3.25